A plane-wave DFT calculation with PBE-GGA was carried out for ZrAu2Br after structural relaxation.

Cell and atoms, written as POSCAR:
```
ZrAu2Br
1.0
-2.776 3.876 0.889
-1.313 0.111 -4.667
-0.592 -4.042 2.584
Au Br Zr
2 1 1
direct
0.000 0.000 0.000
0.250 0.750 0.500
0.500 0.500 0.000
0.750 0.250 0.500
```

Calculated values
Electronic total energy (eV/atom): -4.3618
Polymorph energy (0 for the lowest one) (meV per atom): 287
ΔE_f (raw) (eV per atom): -0.17
DOS at the Fermi energy (states/eV/atom): 0.73
Magnetization (μB/f.u.): 0.00